Record 1
! PBE LiCr2P, relaxed; values from VASP
! Energy of formation from the pure elements ... 316.4 meV per atom
! Space-group type ... I-42d, No. 122
&SYSTEM
  ibrav = 0, nat = 16, ntyp = 3
/
ATOMIC_SPECIES
Li 6.94 Li.upf
Cr 52.00 Cr.upf
P 30.97 P.upf
CELL_PARAMETERS angstrom
3.458 0.000 0.000
0.000 3.458 0.000
0.000 0.000 17.243
ATOMIC_POSITIONS crystal
Li 0.000 0.000 0.000
Li 0.000 0.500 0.250
Li 0.500 0.000 0.750
Li 0.500 0.500 0.500
Cr 0.192 0.250 0.625
Cr 0.250 0.692 0.875
Cr 0.250 0.808 0.375
Cr 0.308 0.250 0.125
Cr 0.692 0.750 0.125
Cr 0.750 0.192 0.375
Cr 0.750 0.308 0.875
Cr 0.808 0.750 0.625
P 0.000 0.000 0.500
P 0.000 0.500 0.750
P 0.500 0.000 0.250
P 0.500 0.500 0.000



Record 2
! PBE Pm3Ir2Pd, relaxed; values from VASP
! Offset from the most stable computed form ... 0.003 eV per atom
! Energy of formation from the pure elements ... -684.0 meV per atom
! Space-group type ... P4/mmm, No. 123
&SYSTEM
  ibrav = 0, nat = 6, ntyp = 3
/
ATOMIC_SPECIES
Pm 145.00 Pm.upf
Ir 192.22 Ir.upf
Pd 106.42 Pd.upf
CELL_PARAMETERS angstrom
3.555 0.000 0.000
0.000 3.555 0.000
0.000 0.000 10.643
ATOMIC_POSITIONS crystal
Pm 0.000 0.000 0.000
Pm 0.000 0.000 0.323
Pm 0.000 0.000 0.677
Ir 0.500 0.500 0.167
Ir 0.500 0.500 0.833
Pd 0.500 0.500 0.500



Record 3
! PBE MnPbW2, relaxed; values from VASP
! Energy of formation from the pure elements ... 572.3 meV per atom
! Space-group type ... P4mm, No. 99
&SYSTEM
  ibrav = 0, nat = 4, ntyp = 3
/
ATOMIC_SPECIES
Mn 54.94 Mn.upf
Pb 207.20 Pb.upf
W 183.84 W.upf
CELL_PARAMETERS angstrom
3.251 0.000 0.000
0.000 3.251 0.000
0.000 0.000 6.887
ATOMIC_POSITIONS crystal
Mn 0.000 0.000 0.000
Pb 0.500 0.500 0.284
W 0.000 0.000 0.593
W 0.500 0.500 0.796



Record 4
! PBE AgIrPb4, relaxed; values from VASP
! Energy of formation from the pure elements ... 862.8 meV per atom
! Space-group type ... F-43m, No. 216
&SYSTEM
  ibrav = 0, nat = 6, ntyp = 3
/
ATOMIC_SPECIES
Ag 107.87 Ag.upf
Ir 192.22 Ir.upf
Pb 207.20 Pb.upf
CELL_PARAMETERS angstrom
0.000 4.374 4.374
4.374 0.000 4.374
4.374 4.374 0.000
ATOMIC_POSITIONS crystal
Ag 0.000 0.000 0.000
Ir 0.750 0.750 0.750
Pb 0.376 0.376 0.376
Pb 0.376 0.376 0.873
Pb 0.376 0.873 0.376
Pb 0.873 0.376 0.376



Record 5
! PBE YTe4Br, relaxed; values from VASP
! Raw formation energy ... -119 kJ/mol of formula units
! Space-group type ... F-43m, No. 216
&SYSTEM
  ibrav = 0, nat = 6, ntyp = 3
/
ATOMIC_SPECIES
Y 88.91 Y.upf
Te 127.60 Te.upf
Br 79.90 Br.upf
CELL_PARAMETERS angstrom
0.000 4.475 4.475
4.475 0.000 4.475
4.475 4.475 0.000
ATOMIC_POSITIONS crystal
Y 0.000 0.000 0.000
Te 0.375 0.375 0.375
Te 0.375 0.375 0.876
Te 0.375 0.876 0.375
Te 0.876 0.375 0.375
Br 0.750 0.750 0.750



Record 6
! PBE Be2GaSnTe, relaxed; values from VASP
! Raw formation energy ... 252 kJ/mol of formula units
! Space-group type ... P4/mmm, No. 123
&SYSTEM
  ibrav = 0, nat = 5, ntyp = 4
/
ATOMIC_SPECIES
Be 9.01 Be.upf
Ga 69.72 Ga.upf
Sn 118.71 Sn.upf
Te 127.60 Te.upf
CELL_PARAMETERS angstrom
4.427 0.000 0.000
0.000 4.427 0.000
0.000 0.000 5.743
ATOMIC_POSITIONS crystal
Be 0.000 0.500 0.000
Be 0.500 0.000 0.000
Ga 0.000 0.000 0.000
Sn 0.000 0.000 0.500
Te 0.500 0.500 0.500



Record 7
! PBE GdLuCdIn, relaxed; values from VASP
! Energy of formation from the pure elements ... -397.3 meV per atom
! Space-group type ... F-43m, No. 216
&SYSTEM
  ibrav = 0, nat = 16, ntyp = 4
/
ATOMIC_SPECIES
Gd 157.25 Gd.upf
Lu 174.97 Lu.upf
Cd 112.41 Cd.upf
In 114.82 In.upf
CELL_PARAMETERS angstrom
7.462 0.000 0.000
0.000 7.462 0.000
0.000 0.000 7.462
ATOMIC_POSITIONS crystal
Gd 0.000 0.000 0.000
Gd 0.000 0.500 0.500
Gd 0.500 0.000 0.500
Gd 0.500 0.500 0.000
Lu 0.000 0.000 0.500
Lu 0.000 0.500 0.000
Lu 0.500 0.000 0.000
Lu 0.500 0.500 0.500
Cd 0.250 0.250 0.250
Cd 0.250 0.750 0.750
Cd 0.750 0.250 0.750
Cd 0.750 0.750 0.250
In 0.250 0.250 0.750
In 0.250 0.750 0.250
In 0.750 0.250 0.250
In 0.750 0.750 0.750



Record 8
! PBE Ba2Te4Mo, relaxed; values from VASP
! Raw formation energy ... -559 kJ/mol of formula units
! Space-group type ... I4/mmm, No. 139
&SYSTEM
  ibrav = 0, nat = 14, ntyp = 3
/
ATOMIC_SPECIES
Ba 137.33 Ba.upf
Te 127.60 Te.upf
Mo 95.94 Mo.upf
CELL_PARAMETERS angstrom
5.360 0.000 0.000
0.000 5.360 0.000
0.000 0.000 17.835
ATOMIC_POSITIONS crystal
Ba 0.000 0.000 0.144
Ba 0.000 0.000 0.856
Ba 0.500 0.500 0.356
Ba 0.500 0.500 0.644
Te 0.000 0.000 0.337
Te 0.000 0.000 0.663
Te 0.000 0.500 0.000
Te 0.000 0.500 0.500
Te 0.500 0.000 0.000
Te 0.500 0.000 0.500
Te 0.500 0.500 0.163
Te 0.500 0.500 0.837
Mo 0.000 0.000 0.500
Mo 0.500 0.500 0.000



Record 9
! PBE TmZn10Ga2, relaxed; values from VASP
! Energy of formation from the pure elements ... -109.4 meV per atom
! Space-group type ... Cmcm, No. 63
&SYSTEM
  ibrav = 0, nat = 26, ntyp = 3
/
ATOMIC_SPECIES
Tm 168.93 Tm.upf
Zn 65.41 Zn.upf
Ga 69.72 Ga.upf
CELL_PARAMETERS angstrom
4.417 -5.254 0.000
4.417 5.254 0.000
0.000 0.000 9.049
ATOMIC_POSITIONS crystal
Tm 0.133 0.867 0.750
Tm 0.867 0.133 0.250
Zn 0.141 0.377 0.750
Zn 0.150 0.850 0.104
Zn 0.150 0.850 0.396
Zn 0.220 0.220 0.000
Zn 0.220 0.220 0.500
Zn 0.233 0.479 0.250
Zn 0.377 0.141 0.250
Zn 0.397 0.603 0.579
Zn 0.397 0.603 0.921
Zn 0.479 0.233 0.750
Zn 0.521 0.767 0.250
Zn 0.603 0.397 0.079
Zn 0.603 0.397 0.421
Zn 0.623 0.859 0.750
Zn 0.767 0.521 0.750
Zn 0.780 0.780 0.000
Zn 0.780 0.780 0.500
Zn 0.850 0.150 0.604
Zn 0.850 0.150 0.896
Zn 0.859 0.623 0.250
Ga 0.000 0.500 0.000
Ga 0.000 0.500 0.500
Ga 0.500 0.000 0.000
Ga 0.500 0.000 0.500



Record 10
! PBE LaCuOs2, relaxed; values from VASP
! Offset from the most stable computed form ... 0.096 eV per atom
! Energy of formation from the pure elements ... 352.7 meV per atom
! Space-group type ... Cm, No. 8
&SYSTEM
  ibrav = 0, nat = 8, ntyp = 3
/
ATOMIC_SPECIES
La 138.91 La.upf
Cu 63.55 Cu.upf
Os 190.23 Os.upf
CELL_PARAMETERS angstrom
8.540 0.000 0.000
0.000 2.970 0.000
-1.069 0.000 6.051
ATOMIC_POSITIONS crystal
La 0.000 0.000 0.000
La 0.500 0.500 0.000
Cu 0.269 0.500 0.311
Cu 0.769 0.000 0.311
Os 0.008 0.500 0.515
Os 0.249 0.000 0.650
Os 0.508 0.000 0.515
Os 0.749 0.500 0.650



Record 11
! PBE Ba2WAu, relaxed; values from VASP
! Offset from the most stable computed form ... 0.000 eV per atom
! Energy of formation from the pure elements ... 440.2 meV per atom
! Space-group type ... R3m, No. 160
&SYSTEM
  ibrav = 0, nat = 12, ntyp = 3
/
ATOMIC_SPECIES
Ba 137.33 Ba.upf
W 183.84 W.upf
Au 196.97 Au.upf
CELL_PARAMETERS angstrom
4.568 0.000 0.000
-2.284 3.956 0.000
0.000 0.000 26.277
ATOMIC_POSITIONS crystal
Ba 0.000 0.000 0.000
Ba 0.000 0.000 0.174
Ba 0.333 0.667 0.667
Ba 0.333 0.667 0.841
Ba 0.667 0.333 0.333
Ba 0.667 0.333 0.507
W 0.000 0.000 0.754
W 0.333 0.667 0.420
W 0.667 0.333 0.087
Au 0.000 0.000 0.420
Au 0.333 0.667 0.087
Au 0.667 0.333 0.753



Record 12
! PBE TbPr4Th, relaxed; values from VASP
! Offset from the most stable computed form ... 0.028 eV per atom
! Energy of formation from the pure elements ... 70.9 meV per atom
! Space-group type ... P6/mmm, No. 191
&SYSTEM
  ibrav = 0, nat = 6, ntyp = 3
/
ATOMIC_SPECIES
Tb 158.93 Tb.upf
Pr 140.91 Pr.upf
Th 232.04 Th.upf
CELL_PARAMETERS angstrom
5.796 0.000 0.000
-2.898 5.020 0.000
0.000 0.000 7.115
ATOMIC_POSITIONS crystal
Tb 0.000 0.000 0.000
Pr 0.333 0.667 0.247
Pr 0.333 0.667 0.753
Pr 0.667 0.333 0.247
Pr 0.667 0.333 0.753
Th 0.000 0.000 0.500